(1)
6
Lattice="3.044 -1.775 0.000 3.044 1.775 0.000 -0.028 0.000 11.736" Properties=species:S:1:pos:R:3 comment="LiMgCl (GGA-PBE, relaxed)" energy_ev_per_atom=-2.815 spacegroup="No. 8" formation_energy_uncorrected_ev_per_atom=-1.0295 pbc="T T T"
Li 0.000 0.000 0.000
Li 4.041 0.000 3.039
Mg 4.013 0.000 7.986
Mg 6.051 0.000 5.649
Cl 2.006 0.000 1.738
Cl 4.023 0.000 10.465



(2)
80
Lattice="-7.908 7.908 7.908 7.908 -7.908 7.908 7.908 7.908 -7.908" Properties=species:S:1:pos:R:3 comment="Li3Mg5Cl12 (GGA-PBE, relaxed)" energy_ev_per_atom=-3.402 spacegroup="No. 230" formation_energy_uncorrected_ev_per_atom=-1.6080 pbc="T T T"
Li 3.954 1.977 0.000
Li 7.908 3.954 -1.977
Li 1.977 0.000 3.954
Li 9.885 0.000 3.954
Li 0.000 3.954 1.977
Li 3.954 -1.977 7.908
Li 3.954 9.885 0.000
Li 7.908 3.954 5.931
Li -1.977 7.908 3.954
Li 5.931 7.908 3.954
Li 0.000 3.954 9.885
Li 3.954 5.931 7.908
Mg 0.000 0.000 0.000
Mg 3.954 3.954 -3.954
Mg 3.954 -3.954 3.954
Mg 7.908 0.000 0.000
Mg 11.862 1.977 0.000
Mg 7.908 -3.954 5.931
Mg 5.931 7.908 -3.954
Mg 5.931 0.000 3.954
Mg 3.954 5.931 0.000
Mg 7.908 3.954 1.977
Mg -3.954 3.954 3.954
Mg 0.000 7.908 0.000
Mg 0.000 0.000 7.908
Mg 3.954 3.954 3.954
Mg 0.000 3.954 5.931
Mg 3.954 1.977 7.908
Mg 1.977 7.908 3.954
Mg 1.977 0.000 11.862
Mg 0.000 11.862 1.977
Mg -3.954 5.931 7.908
Cl 2.377 -0.422 0.890
Cl 9.485 4.844 -4.376
Cl 10.285 0.422 0.890
Cl 9.485 -3.064 4.376
Cl 7.486 -0.890 2.377
Cl 12.284 -1.577 3.064
Cl 0.890 2.377 -0.422
Cl 10.972 3.532 -1.577
Cl 4.844 4.376 -1.577
Cl 7.018 2.377 0.422
Cl -0.422 0.890 2.377
Cl 4.376 -1.577 4.844
Cl 7.486 7.018 -2.377
Cl 4.376 1.577 3.064
Cl 4.844 -4.376 9.485
Cl 7.018 -2.377 7.486
Cl 3.064 4.376 1.577
Cl 8.798 5.531 0.422
Cl 4.376 9.485 -3.064
Cl 7.486 0.890 5.531
Cl 2.377 7.486 -0.890
Cl 9.485 3.064 3.532
Cl 1.577 3.064 4.376
Cl 2.377 0.422 7.018
Cl 5.531 7.486 0.890
Cl 6.331 4.844 3.532
Cl -1.577 4.844 4.376
Cl 5.531 0.422 8.798
Cl 0.422 7.018 2.377
Cl 3.532 -1.577 10.972
Cl -0.890 2.377 7.486
Cl 4.844 3.532 6.331
Cl 0.890 10.285 0.422
Cl 3.064 12.284 -1.577
Cl 3.532 6.331 4.844
Cl 0.422 0.890 10.285
Cl 3.532 9.485 3.064
Cl 8.330 7.018 5.531
Cl 0.890 5.531 7.486
Cl 3.064 3.532 9.485
Cl -3.064 4.376 9.485
Cl 7.018 5.531 8.330
Cl -4.376 9.485 4.844
Cl 0.422 8.798 5.531
Cl -1.577 10.972 3.532
Cl -2.377 7.486 7.018
Cl -1.577 3.064 12.284
Cl 5.531 8.330 7.018



(3)
4
Lattice="-2.111 2.111 4.923 2.111 -2.111 4.923 2.111 2.111 -4.923" Properties=species:S:1:pos:R:3 comment="Li2MgCl (GGA-PBE, relaxed)" energy_ev_per_atom=-2.169 spacegroup="No. 139" formation_energy_uncorrected_ev_per_atom=-0.3519 pbc="T T T"
Li 2.111 0.000 2.462
Li 0.000 2.111 2.462
Mg 0.000 0.000 0.000
Cl 0.000 0.000 4.923